Compound: HfPaIr2
Source: the Alexandria database
Functional: PBE
Structure: relaxed

Cell lengths 3.1869, 3.1869, 7.4302 Å; angles 90.00, 90.00, 90.00 degrees
Fractional coordinates of all 4 atoms:
Pa  0.5000  0.5000  0.5000
Hf  0.5000  0.5000  0.0000
Ir  0.0000  0.0000  0.7794
Ir  0.0000  0.0000  0.2206

Space-group type ... P4/mmm (123)
Calculated formation energy ... -0.813 eV per atom
Energy above the most stable polymorph in this dataset ... 0.00 kcal/mol of atoms
E ... -10.105 eV per atom
DOS at the Fermi energy ... 1.028 states/eV per atom

Compound: HfPaIr
Source: the Alexandria database
Functional: PBE
Structure: relaxed

Cell lengths 3.2035, 3.2035, 6.5171 Å; angles 104.23, 104.23, 90.00 degrees
Fractional coordinates of all 3 atoms:
Pa  0.0099  0.0099  0.0198
Hf  0.3101  0.3101  0.6201
Ir  0.6800  0.6800  0.3601

Space-group type ... I4mm (107)
Calculated formation energy ... -0.458 eV per atom
Energy above the most stable polymorph in this dataset ... 0.00 kcal/mol of atoms
E ... -9.895 eV per atom
DOS at the Fermi energy ... 1.035 states/eV per atom

Compound: HfPaIr
Source: the Alexandria database
Functional: PBE
Structure: relaxed

Cell lengths 4.1556, 4.3629, 4.3629 Å; angles 120.00, 90.00, 90.00 degrees
Fractional coordinates of all 3 atoms:
Pa  0.6248  0.3333  0.6667
Hf  0.0964  0.0000  0.0000
Ir  0.2788  0.6667  0.3333

Space-group type ... P3m1 (156)
Calculated formation energy ... -0.254 eV per atom
Energy above the most stable polymorph in this dataset ... 4.72 kcal/mol of atoms
E ... -9.691 eV per atom
DOS at the Fermi energy ... 1.306 states/eV per atom

Compound: HfPaIrRh
Source: the Alexandria database
Functional: PBE
Structure: relaxed

Cell lengths 4.7782, 4.7782, 4.7782 Å; angles 60.00, 60.00, 60.00 degrees
Fractional coordinates of all 4 atoms:
Rh  0.5000  0.5000  0.5000
Pa  0.7500  0.7500  0.7500
Hf  0.2500  0.2500  0.2500
Ir  0.0000  0.0000  0.0000

Space-group type ... F-43m (216)
Calculated formation energy ... -0.656 eV per atom
E ... -9.571 eV per atom
DOS at the Fermi energy ... 1.812 states/eV per atom

Compound: HfPaSi2Ir5
Source: the Alexandria database
Functional: PBE
Structure: relaxed

Cell lengths 3.9706, 3.9706, 11.0194 Å; angles 90.00, 90.00, 90.00 degrees
Each line ends with the local moment (μB).
Fractional coordinates of all 9 atoms:
Hf  0.0000  0.0000  0.0000  0.01
Pa  0.0000  0.0000  0.5000  0.35
Si  0.5000  0.5000  0.2852  0.00
Si  0.5000  0.5000  0.7148  0.00
Ir  0.0000  0.5000  0.1730  0.00
Ir  0.5000  0.0000  0.1730  0.00
Ir  0.0000  0.5000  0.8270  0.00
Ir  0.5000  0.0000  0.8270  0.00
Ir  0.5000  0.5000  0.5000  -0.02

Space-group type ... P4/mmm (123)
E ... -8.812 eV per atom
DOS at the Fermi energy ... 0.959 states/eV per atom
Uncorrected formation energy ... -523 meV/atom

Compound: Hf8IrPb2
Source: the Alexandria database
Functional: PBE
Structure: relaxed

Cell lengths 4.7856, 5.8631, 9.6921 Å; angles 108.07, 104.29, 90.00 degrees
Fractional coordinates of all 11 atoms:
Hf  0.4190  0.5099  0.8380
Hf  0.6457  0.0576  0.2913
Hf  0.7657  0.6477  0.5313
Hf  0.9761  0.2278  0.9522
Hf  0.2343  0.3523  0.4687
Hf  0.3543  0.9424  0.7087
Hf  0.5810  0.4901  0.1620
Hf  0.0239  0.7722  0.0478
Ir  0.5000  0.0000  0.0000
Pb  0.8181  0.2182  0.6362
Pb  0.1819  0.7818  0.3638

Space-group type ... C2/m (12)
Calculated formation energy ... -0.066 eV per atom
E ... -8.785 eV per atom
DOS at the Fermi energy ... 0.861 states/eV per atom